First-principles (GGA-PBE) data for a geometry-optimized Cu3Ag2 structure, as listed in the Open Quantum Materials Database.

a = 14.273 Å, b = 2.761 Å, c = 7.642 Å
α = 90.00°, β = 106.91°, γ = 90.00°
Space group C2/m (No. 12)
Symmetry-distinct sites (fractional):
Cu1 0.000 0.000 0.000
Cu2 0.000 0.000 0.500
Cu3 0.099 0.500 0.282
Cu4 0.199 0.000 0.103
Ag1 0.096 0.500 0.810
Ag2 0.196 0.000 0.596

Properties
As for the density: 9.37 g cm⁻³. As for the crystal system: monoclinic. The formation energy comes out at 0.11 eV/atom. The value obtained for the excess energy over the best structure of this formula in the dataset is 0.070 eV/atom.

***

First-principles (GGA-PBE) data for a geometry-optimized Cu4Ag5 structure, as listed in the Open Quantum Materials Database.

a = 11.629 Å, b = 2.821 Å, c = 8.712 Å
α = 90.00°, β = 104.20°, γ = 90.00°
Space group C2/m (No. 12)
Symmetry-distinct sites (fractional):
Cu1 0.005 0.000 0.326
Cu2 0.159 0.500 0.231
Ag1 0.000 0.000 0.000
Ag2 0.158 0.500 0.552
Ag3 0.172 0.500 0.876

Properties
As for the density: 9.51 g cm⁻³. As for the crystal system: monoclinic. The formation energy comes out at 0.09 eV/atom. The value obtained for the excess energy over the best structure of this formula in the dataset is 0.054 eV/atom.

***

First-principles (GGA-PBE) data for a geometry-optimized Cu3Ag2 structure, as listed in the Open Quantum Materials Database.

a = 4.748 Å, b = 13.530 Å, c = 4.742 Å
α = 90.00°, β = 110.19°, γ = 90.00°
Space group C2/c (No. 15)
Symmetry-distinct sites (fractional):
Cu1 0.000 0.050 0.250
Cu2 0.000 0.146 0.750
Cu3 0.000 0.244 0.250
Ag1 0.000 0.340 0.750
Ag2 0.000 0.447 0.250

Properties
As for the density: 9.44 g cm⁻³. As for the crystal system: monoclinic. The formation energy comes out at 0.10 eV/atom. The value obtained for the excess energy over the best structure of this formula in the dataset is 0.060 eV/atom.

***

First-principles (GGA-PBE) data for a geometry-optimized Cu3Ag7 structure, as listed in the Open Quantum Materials Database.

a = 4.023 Å, b = 4.028 Å, c = 20.077 Å
α = 90.00°, β = 90.00°, γ = 90.00°
Space group Amm2 (No. 38)
Symmetry-distinct sites (fractional):
Cu1 0.000 0.000 0.000
Cu2 0.000 0.000 0.406
Cu3 0.500 0.000 0.313
Ag1 0.000 0.000 0.211
Ag2 0.000 0.000 0.602
Ag3 0.000 0.000 0.811
Ag4 0.500 0.000 0.102
Ag5 0.500 0.000 0.501
Ag6 0.500 0.000 0.711
Ag7 0.500 0.000 0.906

Properties
As for the density: 9.65 g cm⁻³. As for the crystal system: orthorhombic. The formation energy comes out at 0.08 eV/atom. The value obtained for the excess energy over the best structure of this formula in the dataset is 0.046 eV/atom.

***

First-principles (GGA-PBE) data for a geometry-optimized Cu5Ag3 structure, as listed in the Open Quantum Materials Database.

a = 5.475 Å, b = 7.565 Å, c = 10.985 Å
α = 90.00°, β = 90.00°, γ = 90.00°
Space group Fmm2 (No. 42)
Symmetry-distinct sites (fractional):
Cu1 0.000 0.000 0.000
Cu2 0.000 0.000 0.227
Cu3 0.000 0.000 0.488
Cu4 0.250 0.250 0.108
Ag1 0.000 0.000 0.725
Ag2 0.250 0.250 0.366

Properties
As for the density: 9.36 g cm⁻³. As for the crystal system: orthorhombic. The formation energy comes out at 0.10 eV/atom. The value obtained for the excess energy over the best structure of this formula in the dataset is 0.049 eV/atom.

***

First-principles (GGA-PBE) data for a geometry-optimized Cu3Ag7 structure, as listed in the Open Quantum Materials Database.

a = 6.339 Å, b = 4.003 Å, c = 6.417 Å
α = 90.00°, β = 90.42°, γ = 90.00°
Space group Pm (No. 6)
Symmetry-distinct sites (fractional):
Cu1 0.000 0.000 0.000
Cu2 0.100 0.500 0.711
Cu3 0.609 0.000 0.201
Ag1 0.204 0.000 0.401
Ag2 0.299 0.500 0.098
Ag3 0.391 0.000 0.808
Ag4 0.502 0.500 0.500
Ag5 0.713 0.500 0.911
Ag6 0.812 0.000 0.610
Ag7 0.900 0.500 0.301

Properties
As for the density: 9.64 g cm⁻³. As for the crystal system: monoclinic. The formation energy comes out at 0.08 eV/atom. The value obtained for the excess energy over the best structure of this formula in the dataset is 0.049 eV/atom.

***

First-principles (GGA-PBE) data for a geometry-optimized Cu3Ag2 structure, as listed in the Open Quantum Materials Database.

a = 4.660 Å, b = 2.779 Å, c = 11.091 Å
α = 90.00°, β = 95.64°, γ = 90.00°
Space group Pm (No. 6)
Symmetry-distinct sites (fractional):
Cu1 0.000 0.000 0.000
Cu2 0.087 0.500 0.811
Cu3 0.191 0.000 0.616
Cu4 0.378 0.000 0.198
Cu5 0.465 0.500 0.013
Cu6 0.781 0.000 0.401
Ag1 0.280 0.500 0.406
Ag2 0.583 0.000 0.819
Ag3 0.700 0.500 0.604
Ag4 0.876 0.500 0.197

Properties
As for the density: 9.44 g cm⁻³. As for the crystal system: monoclinic. The formation energy comes out at 0.10 eV/atom. The value obtained for the excess energy over the best structure of this formula in the dataset is 0.056 eV/atom.

***

First-principles (GGA-PBE) data for a geometry-optimized Cu3Ag2 structure, as listed in the Open Quantum Materials Database.

a = 2.7549 Å, b = 2.7549 Å, c = 32.9239 Å
α = 90.00°, β = 90.00°, γ = 120.00°
Space group R-3m (No. 166, hexagonal axes)
Symmetry-distinct sites (fractional):
Cu1 0.0000 0.0000 0.0000
Cu2 0.0000 0.0000 0.1965
Ag1 0.0000 0.0000 0.4016

Properties
As for the density: 9.36 g cm⁻³. As for the crystal system: trigonal. The formation energy comes out at 0.12 eV/atom. The value obtained for the excess energy over the best structure of this formula in the dataset is 0.073 eV/atom.

***

First-principles (GGA-PBE) data for a geometry-optimized Cu3Ag5 structure, as listed in the Open Quantum Materials Database.

a = 6.975 Å, b = 2.846 Å, c = 6.977 Å
α = 90.00°, β = 115.27°, γ = 90.00°
Space group P2/m (No. 10)
Symmetry-distinct sites (fractional):
Cu1 0.000 0.000 0.000
Cu2 0.130 0.500 0.333
Ag1 0.211 0.000 0.699
Ag2 0.363 0.500 0.102
Ag3 0.500 0.000 0.500

Properties
As for the density: 9.68 g cm⁻³. As for the crystal system: monoclinic. The formation energy comes out at 0.07 eV/atom. The value obtained for the excess energy over the best structure of this formula in the dataset is 0.033 eV/atom.

***

First-principles (GGA-PBE) data for a geometry-optimized CuAg structure, as listed in the Open Quantum Materials Database.

a = 11.486 Å, b = 2.837 Å, c = 9.293 Å
α = 90.00°, β = 98.74°, γ = 90.00°
Space group C2/m (No. 12)
Symmetry-distinct sites (fractional):
Cu1 0.000 0.000 0.000
Cu2 0.086 0.000 0.291
Cu3 0.091 0.500 0.810
Ag1 0.000 0.500 0.500
Ag2 0.193 0.500 0.099
Ag3 0.207 0.000 0.613

Properties
As for the density: 9.51 g cm⁻³. As for the crystal system: monoclinic. The formation energy comes out at 0.09 eV/atom.

***

First-principles (GGA-PBE) data for a geometry-optimized CuAg structure, as listed in the Open Quantum Materials Database.

a = 18.366 Å, b = 2.798 Å, c = 4.677 Å
α = 90.00°, β = 93.07°, γ = 90.00°
Space group C2/m (No. 12)
Symmetry-distinct sites (fractional):
Cu1 0.080 0.000 0.287
Cu2 0.193 0.500 0.419
Ag1 0.049 0.500 0.767
Ag2 0.184 0.000 0.910

Properties
As for the density: 9.49 g cm⁻³. As for the crystal system: monoclinic. The formation energy comes out at 0.09 eV/atom.

***

First-principles (GGA-PBE) data for a geometry-optimized Cu2Ag7 structure, as listed in the Open Quantum Materials Database.

a = 2.8897 Å, b = 2.8897 Å, c = 20.8261 Å
α = 90.00°, β = 90.00°, γ = 120.00°
Space group P-3m1 (No. 164)
Symmetry-distinct sites (fractional):
Cu1 0.3333 0.6667 0.2219
Ag1 0.0000 0.0000 0.0000
Ag2 0.0000 0.0000 0.3255
Ag3 0.3333 0.6667 0.5579
Ag4 0.3333 0.6667 0.8821

Properties
As for the density: 9.73 g cm⁻³. As for the crystal system: trigonal. The formation energy comes out at 0.06 eV/atom. The value obtained for the excess energy over the best structure of this formula in the dataset is 0.033 eV/atom.